<i>
Entry from Alexandria: crystalline GaPd2N at its relaxed geometry (PBE).

Cell: 5.975 5.975 5.975 Å, 90.00 90.00 90.00°
Space group Fm-3m (No. 225)
Inequivalent atoms, fractional coordinates:
Ga (0.000, 0.000, 0.000)
Pd (0.250, 0.250, 0.250)
N (0.000, 0.000, 0.500)

Computed properties:
**Magnetic moment**: 0.348 μB/atom
**Calculated volume**: 213 Å³/cell

<ii>
Entry from Alexandria: crystalline GaPd2N at its relaxed geometry (PBE).

Cell: 4.877 4.877 11.492 Å, 90.00 90.00 90.00°
Space group I-42d (No. 122)
Inequivalent atoms, fractional coordinates:
Ga (0.000, 0.000, 0.000)
Pd (0.145, 0.250, 0.625)
N (0.000, 0.000, 0.500)

Computed properties:
**Magnetic moment**: 0.000 μB/atom
**Calculated volume**: 273 Å³/cell

<ii> (29.4 kJ/mol of atoms below the next structure)

<i>
Entry from Alexandria: crystalline GaTePdN2 at its relaxed geometry (PBE).

Cell: 3.884 3.884 6.125 Å, 90.00 90.00 90.00°
Space group P4/mmm (No. 123)
Inequivalent atoms, fractional coordinates:
Ga (0.000, 0.000, 0.000)
Te (0.000, 0.000, 0.500)
Pd (0.500, 0.500, 0.500)
N (0.000, 0.500, 0.000)

Computed properties:
**Magnetic moment**: 0.728 μB/atom
**Calculated volume**: 92 Å³/cell

<ii>
Entry from Alexandria: crystalline GaTePdN2 at its relaxed geometry (PBE).

Cell: 4.049 4.049 5.790 Å, 90.00 90.00 90.00°
Space group P4/mmm (No. 123)
Inequivalent atoms, fractional coordinates:
Ga (0.000, 0.000, 0.000)
Te (0.500, 0.500, 0.000)
Pd (0.500, 0.500, 0.500)
N (0.000, 0.500, 0.500)

Computed properties:
**Magnetic moment**: 0.669 μB/atom
**Calculated volume**: 95 Å³/cell

<i> (6.8 kJ/mol of atoms below the next structure)

<i>
Entry from Alexandria: crystalline GaTe2PdN at its relaxed geometry (PBE).

Cell: 5.660 5.660 3.440 Å, 90.00 90.00 90.00°
Space group P4/mmm (No. 123)
Inequivalent atoms, fractional coordinates:
Ga (0.000, 0.000, 0.000)
Te (0.000, 0.500, 0.000)
Pd (0.500, 0.500, 0.500)
N (0.000, 0.000, 0.500)

Computed properties:
**Magnetic moment**: 0.000 μB/atom
**Calculated volume**: 110 Å³/cell

<ii>
Entry from Alexandria: crystalline GaTe2PdN at its relaxed geometry (PBE).

Cell: 5.670 5.670 3.688 Å, 90.00 90.00 90.00°
Space group P4/mmm (No. 123)
Inequivalent atoms, fractional coordinates:
Ga (0.000, 0.000, 0.000)
Te (0.000, 0.500, 0.500)
Pd (0.500, 0.500, 0.500)
N (0.500, 0.500, 0.000)

Computed properties:
**Magnetic moment**: 0.000 μB/atom
**Calculated volume**: 119 Å³/cell

<ii> (11.8 kJ/mol of atoms below the next structure)

<i>
Entry from Alexandria: crystalline PmGaN at its relaxed geometry (PBE).

Cell: 4.204 4.204 7.083 Å, 90.00 90.00 90.00°
Space group I4mm (No. 107)
Inequivalent atoms, fractional coordinates:
Pm (0.000, 0.000, 0.000)
Ga (0.000, 0.000, 0.411)
N (0.000, 0.000, 0.670)

Computed properties:
**Magnetic moment**: 0.000 μB/atom
**Calculated volume**: 125 Å³/cell

<ii>
Entry from Alexandria: crystalline PmGaN at its relaxed geometry (PBE).

Cell: 3.698 3.698 7.424 Å, 90.00 90.00 90.00°
Space group P4/nmm (No. 129, origin choice 2)
Inequivalent atoms, fractional coordinates:
Pm (0.250, 0.250, 0.162)
Ga (0.250, 0.250, 0.568)
N (0.250, 0.250, 0.836)

Computed properties:
**Magnetic moment**: 0.000 μB/atom
**Calculated volume**: 101 Å³/cell

<ii> (81.8 kJ/mol of atoms below the next structure)

<i>
Entry from Alexandria: crystalline GaPt2N at its relaxed geometry (PBE).

Cell: 4.878 4.878 11.506 Å, 90.00 90.00 90.00°
Space group I-42d (No. 122)
Inequivalent atoms, fractional coordinates:
Ga (0.000, 0.000, 0.000)
Pt (0.149, 0.250, 0.625)
N (0.000, 0.000, 0.500)

Computed properties:
**Magnetic moment**: 0.000 μB/atom
**Calculated volume**: 274 Å³/cell

<ii>
Entry from Alexandria: crystalline GaPt2N at its relaxed geometry (PBE).

Cell: 5.999 5.999 5.999 Å, 90.00 90.00 90.00°
Space group Fm-3m (No. 225)
Inequivalent atoms, fractional coordinates:
Ga (0.000, 0.000, 0.000)
Pt (0.250, 0.250, 0.250)
N (0.000, 0.000, 0.500)

Computed properties:
**Magnetic moment**: 0.000 μB/atom
**Calculated volume**: 216 Å³/cell

<i> (52.3 kJ/mol of atoms below the next structure)

<i>
Entry from Alexandria: crystalline GaPtS2N at its relaxed geometry (PBE).

Cell: 4.765 4.765 3.785 Å, 90.00 90.00 90.00°
Space group P4/mmm (No. 123)
Inequivalent atoms, fractional coordinates:
Ga (0.000, 0.000, 0.000)
Pt (0.500, 0.500, 0.000)
S (0.000, 0.500, 0.500)
N (0.500, 0.500, 0.500)

Computed properties:
**Magnetic moment**: 0.000 μB/atom
**Calculated volume**: 86 Å³/cell

<ii>
Entry from Alexandria: crystalline GaPtS2N at its relaxed geometry (PBE).

Cell: 4.813 4.813 3.548 Å, 90.00 90.00 90.00°
Space group P4/mmm (No. 123)
Inequivalent atoms, fractional coordinates:
Ga (0.000, 0.000, 0.000)
Pt (0.500, 0.500, 0.500)
S (0.000, 0.500, 0.000)
N (0.000, 0.000, 0.500)

Computed properties:
**Magnetic moment**: 0.000 μB/atom
**Calculated volume**: 82 Å³/cell

<iii>
Entry from Alexandria: crystalline GaPtS2N at its relaxed geometry (PBE).

Cell: 5.007 5.007 3.676 Å, 90.00 90.00 90.00°
Space group P4/mmm (No. 123)
Inequivalent atoms, fractional coordinates:
Ga (0.000, 0.000, 0.000)
Pt (0.500, 0.500, 0.500)
S (0.000, 0.500, 0.500)
N (0.500, 0.500, 0.000)

Computed properties:
**Magnetic moment**: 0.000 μB/atom
**Calculated volume**: 92 Å³/cell

<iii> (29.6 kJ/mol of atoms below the next structure)

<i>
Entry from Alexandria: crystalline GaPtSeN2 at its relaxed geometry (PBE).

Cell: 3.745 3.745 8.785 Å, 90.00 90.00 90.00°
Space group P4/mmm (No. 123)
Inequivalent atoms, fractional coordinates:
Ga (0.000, 0.000, 0.000)
Pt (0.500, 0.500, 0.500)
Se (0.500, 0.500, 0.000)
N (0.000, 0.500, 0.500)

Computed properties:
**Magnetic moment**: 0.000 μB/atom
**Calculated volume**: 123 Å³/cell

<ii>
Entry from Alexandria: crystalline GaPtSeN2 at its relaxed geometry (PBE).

Cell: 3.697 3.697 6.837 Å, 90.00 90.00 90.00°
Space group P4/mmm (No. 123)
Inequivalent atoms, fractional coordinates:
Ga (0.000, 0.000, 0.000)
Pt (0.500, 0.500, 0.500)
Se (0.000, 0.000, 0.500)
N (0.000, 0.500, 0.000)

Computed properties:
**Magnetic moment**: 0.502 μB/atom
**Calculated volume**: 93 Å³/cell

<i> (42.9 kJ/mol of atoms below the next structure)

<i>
Entry from Alexandria: crystalline Rb2GaN at its relaxed geometry (PBE).

Cell: 7.654 7.654 7.654 Å, 90.00 90.00 90.00°
Space group Fm-3m (No. 225)
Inequivalent atoms, fractional coordinates:
Rb (0.250, 0.250, 0.250)
Ga (0.000, 0.000, 0.000)
N (0.000, 0.000, 0.500)

Computed properties:
**Magnetic moment**: 0.000 μB/atom
**Calculated volume**: 448 Å³/cell

<ii>
Entry from Alexandria: crystalline Rb2GaN at its relaxed geometry (PBE).

Cell: 12.746 12.746 3.843 Å, 90.00 90.00 90.00°
Space group I-42d (No. 122)
Inequivalent atoms, fractional coordinates:
Rb (0.043, 0.250, 0.125)
Ga (0.000, 0.000, 0.500)
N (0.000, 0.000, 0.000)

Computed properties:
**Magnetic moment**: 0.000 μB/atom
**Calculated volume**: 624 Å³/cell

<ii> (75.3 kJ/mol of atoms below the next structure)

<i>
Entry from Alexandria: crystalline RbGa3N at its relaxed geometry (PBE).

Cell: 5.999 5.999 5.999 Å, 90.00 90.00 90.00°
Space group Pm-3m (No. 221)
Inequivalent atoms, fractional coordinates:
Rb (0.000, 0.000, 0.000)
Ga (0.000, 0.000, 0.500)
N (0.500, 0.500, 0.500)

Computed properties:
**Magnetic moment**: 0.000 μB/atom
**Calculated volume**: 216 Å³/cell

<ii>
Entry from Alexandria: crystalline RbGa3N at its relaxed geometry (PBE).

Cell: 4.852 4.852 4.852 Å, 90.00 90.00 90.00°
Space group Pm-3m (No. 221)
Inequivalent atoms, fractional coordinates:
Rb (0.000, 0.000, 0.000)
Ga (0.000, 0.500, 0.500)
N (0.500, 0.500, 0.500)

Computed properties:
**Magnetic moment**: 0.101 μB/atom
**Calculated volume**: 114 Å³/cell

<ii> (151.9 kJ/mol of atoms below the next structure)

<i>
Entry from Alexandria: crystalline RbGaSN2 at its relaxed geometry (PBE).

Cell: 4.336 4.336 4.930 Å, 90.00 90.00 90.00°
Space group P4/mmm (No. 123)
Inequivalent atoms, fractional coordinates:
Rb (0.000, 0.000, 0.000)
Ga (0.500, 0.500, 0.500)
S (0.500, 0.500, 0.000)
N (0.000, 0.500, 0.500)

Computed properties:
**Magnetic moment**: 0.803 μB/atom
**Calculated volume**: 93 Å³/cell

<ii>
Entry from Alexandria: crystalline RbGaSN2 at its relaxed geometry (PBE).

Cell: 5.298 5.298 6.293 Å, 90.00 90.00 90.00°
Space group P4/mmm (No. 123)
Inequivalent atoms, fractional coordinates:
Rb (0.000, 0.000, 0.000)
Ga (0.500, 0.500, 0.500)
S (0.000, 0.000, 0.500)
N (0.000, 0.500, 0.000)

Computed properties:
**Magnetic moment**: 1.201 μB/atom
**Calculated volume**: 177 Å³/cell

<i> (112.6 kJ/mol of atoms below the next structure)

<i>
Entry from Alexandria: crystalline RbGaTe2N at its relaxed geometry (PBE).

Cell: 6.574 6.574 5.129 Å, 90.00 90.00 90.00°
Space group P4/mmm (No. 123)
Inequivalent atoms, fractional coordinates:
Rb (0.000, 0.000, 0.000)
Ga (0.500, 0.500, 0.500)
Te (0.000, 0.500, 0.000)
N (0.000, 0.000, 0.500)

Computed properties:
**Magnetic moment**: 0.331 μB/atom
**Calculated volume**: 222 Å³/cell

<ii>
Entry from Alexandria: crystalline RbGaTe2N at its relaxed geometry (PBE).

Cell: 6.415 6.415 3.490 Å, 90.00 90.00 90.00°
Space group P4/mmm (No. 123)
Inequivalent atoms, fractional coordinates:
Rb (0.000, 0.000, 0.000)
Ga (0.500, 0.500, 0.500)
Te (0.000, 0.500, 0.500)
N (0.500, 0.500, 0.000)

Computed properties:
**Magnetic moment**: 0.145 μB/atom
**Calculated volume**: 144 Å³/cell

<ii> (135.7 kJ/mol of atoms below the next structure)

<i>
Entry from Alexandria: crystalline RbGaTeN2 at its relaxed geometry (PBE).

Cell: 4.573 4.573 5.531 Å, 90.00 90.00 90.00°
Space group P4/mmm (No. 123)
Inequivalent atoms, fractional coordinates:
Rb (0.000, 0.000, 0.000)
Ga (0.500, 0.500, 0.500)
Te (0.500, 0.500, 0.000)
N (0.000, 0.500, 0.500)

Computed properties:
**Magnetic moment**: 0.806 μB/atom
**Calculated volume**: 116 Å³/cell

<ii>
Entry from Alexandria: crystalline RbGaTeN2 at its relaxed geometry (PBE).

Cell: 4.401 4.401 5.364 Å, 90.00 90.00 90.00°
Space group P4/mmm (No. 123)
Inequivalent atoms, fractional coordinates:
Rb (0.000, 0.000, 0.000)
Ga (0.500, 0.500, 0.000)
Te (0.500, 0.500, 0.500)
N (0.000, 0.500, 0.500)

Computed properties:
**Magnetic moment**: 0.000 μB/atom
**Calculated volume**: 104 Å³/cell

<i> (9.2 kJ/mol of atoms below the next structure)